Entry 1:
CeTmMg6: optimized geometry, PBE-GGA.

Calculated values
* symmetry: Amm2
* energy above the most stable polymorph in this dataset: 0 meV per atom
* ΔH_f (0 K): -0.01 eV per atom
* crystal system: orthorhombic
* mass density: 3.72 g/cm³

Cell lengths 5.101, 6.564, 6.564 Å; angles 67.59, 90.00, 90.00 degrees
Fractional coordinates of all 8 atoms:
Ce  0.000  0.000  0.000
Tm  0.500  0.263  0.263
Mg  0.000  0.458  0.458
Mg  0.000  0.516  0.946
Mg  0.000  0.946  0.516
Mg  0.500  0.315  0.746
Mg  0.500  0.746  0.315
Mg  0.500  0.801  0.801



Entry 2:
HfPaBi2: optimized geometry, PBE-GGA.

Calculated values
* symmetry: P4/mmm
* energy above the most stable polymorph in this dataset: 0 meV per atom
* ΔH_f (0 K): -0.07 eV per atom
* crystal system: tetragonal
* mass density: 13.22 g/cm³

Cell lengths 5.199, 5.199, 3.847 Å; angles 90.00, 90.00, 90.00 degrees
Fractional coordinates of all 4 atoms:
Hf  0.000  0.000  0.000
Pa  0.500  0.500  0.000
Bi  0.000  0.500  0.500
Bi  0.500  0.000  0.500



Entry 3:
TlSeBr2N: optimized geometry, PBE-GGA.

Calculated values
* formation energy without anion corrections: 1.099 eV per atom
* symmetry: P4/mmm
* energy above the most stable polymorph in this dataset: 580 meV per atom
* crystal system: tetragonal
* mass density: 4.18 g/cm³

Cell lengths 5.716, 5.716, 5.553 Å; angles 90.00, 90.00, 90.00 degrees
Fractional coordinates of all 5 atoms:
Tl  0.000  0.000  0.000
Se  0.000  0.000  0.500
Br  0.000  0.500  0.000
Br  0.500  0.000  0.000
N  0.500  0.500  0.500



Entry 4:
Cs2TlRhBr6: optimized geometry, PBE-GGA.

Calculated values
* formation energy without anion corrections: -1.064 eV per atom
* symmetry: Fm-3m
* crystal system: cubic
* mass density: 4.84 g/cm³

Cell lengths 7.996, 7.996, 7.996 Å; angles 60.00, 60.00, 60.00 degrees
Fractional coordinates of all 10 atoms:
Cs  0.250  0.250  0.250
Cs  0.750  0.750  0.750
Tl  0.000  0.000  0.000
Rh  0.500  0.500  0.500
Br  0.276  0.276  0.724
Br  0.276  0.724  0.276
Br  0.276  0.724  0.724
Br  0.724  0.276  0.276
Br  0.724  0.276  0.724
Br  0.724  0.724  0.276



Entry 5:
Pu2GaSe4: optimized geometry, PBE-GGA.

Calculated values
* formation energy without anion corrections: -1.043 eV per atom
* symmetry: P2_1/m
* crystal system: monoclinic
* mass density: 7.98 g/cm³

Cell lengths 6.851, 6.872, 8.080 Å; angles 90.00, 107.09, 90.00 degrees
Fractional coordinates of all 14 atoms:
Pu  0.229  0.250  0.054
Pu  0.232  0.250  0.559
Pu  0.768  0.750  0.441
Pu  0.771  0.750  0.946
Ga  0.247  0.750  0.312
Ga  0.753  0.250  0.688
Se  0.005  0.509  0.751
Se  0.005  0.991  0.751
Se  0.435  0.750  0.103
Se  0.439  0.750  0.615
Se  0.561  0.250  0.385
Se  0.565  0.250  0.897
Se  0.995  0.009  0.249
Se  0.995  0.491  0.249



Entry 6:
CaZn2RhS: optimized geometry, PBE-GGA.

Calculated values
* formation energy without anion corrections: 0.172 eV per atom
* symmetry: P4/mmm
* crystal system: tetragonal
* mass density: 4.74 g/cm³

Cell lengths 4.593, 4.593, 5.080 Å; angles 90.00, 90.00, 90.00 degrees
Fractional coordinates of all 5 atoms:
Ca  0.000  0.000  0.000
Zn  0.000  0.500  0.500
Zn  0.500  0.000  0.500
Rh  0.500  0.500  0.000
S  0.000  0.000  0.500



Entry 7:
TaCo2Pb: optimized geometry, PBE-GGA.

Calculated values
* symmetry: P2/m
* ΔH_f (0 K): 0.11 eV per atom
* crystal system: monoclinic
* mass density: 12.84 g/cm³

Cell lengths 3.124, 3.159, 6.681 Å; angles 90.00, 96.82, 90.00 degrees
Fractional coordinates of all 4 atoms:
Ta  0.000  0.000  0.000
Co  0.439  0.500  0.802
Co  0.561  0.500  0.198
Pb  0.000  0.000  0.500



Entry 8:
Nd2SmGe: optimized geometry, PBE-GGA.

Calculated values
* symmetry: P4/mmm
* energy above the most stable polymorph in this dataset: 88 meV per atom
* ΔH_f (0 K): -0.34 eV per atom
* crystal system: tetragonal
* mass density: 7.70 g/cm³

Cell lengths 4.784, 4.784, 4.820 Å; angles 90.00, 90.00, 90.00 degrees
Fractional coordinates of all 4 atoms:
Nd  0.000  0.500  0.000
Nd  0.500  0.000  0.000
Sm  0.000  0.000  0.500
Ge  0.500  0.500  0.500